1.
DFT (PBE) results for an optimized crystal structure of ScUSe2O.

Output
* energy relative to the elements, uncorrected: -2059 meV/atom

a = 3.8379 Å, b = 3.8379 Å, c = 13.6354 Å
α = 90.00°, β = 90.00°, γ = 90.00°
Space group P4/nmm (No. 129, origin choice 2)
Inequivalent atoms, fractional coordinates:
Sc (0.2500, 0.2500, 0.0956)
U (0.2500, 0.2500, 0.5964)
Se (0.2500, 0.2500, 0.2991)
Se (0.2500, 0.2500, 0.8939)
O (0.2500, 0.7500, 0.5000)

2.
DFT (PBE) results for an optimized crystal structure of ThInRu2.

Output
* uncorrected energy: -119.77 eV per cell

a = 6.7802 Å, b = 6.7802 Å, c = 6.7802 Å
α = 90.00°, β = 90.00°, γ = 90.00°
Space group Fm-3m (No. 225)
Inequivalent atoms, fractional coordinates:
Th (0.0000, 0.0000, 0.0000)
In (0.0000, 0.0000, 0.5000)
Ru (0.2500, 0.2500, 0.2500)

3.
DFT (PBE) results for an optimized crystal structure of BePb2Br.

Output
* ΔE to the lowest computed polymorph: 92 meV per atom
* energy relative to the elements, uncorrected: 204 meV/atom

a = 3.5228 Å, b = 3.5148 Å, c = 8.3127 Å
α = 90.00°, β = 95.05°, γ = 90.00°
Space group P2/m (No. 10)
Inequivalent atoms, fractional coordinates:
Be (0.0000, 0.0000, 0.0000)
Pb (0.4315, 0.5000, 0.2131)
Br (0.0000, 0.0000, 0.5000)

4.
DFT (PBE) results for an optimized crystal structure of Ce7Sn2Hg2.

Output
* uncorrected energy: -102.56 eV per cell

a = 8.7706 Å, b = 11.2963 Å, c = 6.9653 Å
α = 90.00°, β = 90.00°, γ = 90.00°
Space group Cmmm (No. 65)
Inequivalent atoms, fractional coordinates:
Ce (0.0000, 0.0000, 0.0000)
Ce (0.0000, 0.5000, 0.3034)
Ce (0.2500, 0.2500, 0.3072)
Sn (0.1623, 0.0000, 0.5000)
Hg (0.0000, 0.2873, 0.0000)

What is the formula in the fourth record?
Ce7Sn2Hg2